# LaW3

A PBEsol-optimized structure of LaW3 (meta-GGA SCAN, Alexandria).

a b c (Å): 3.1946 4.6787 9.7360
angles (deg): 90.00 90.00 90.00
With the nearest neighbours (Å) after each atom.
Space group Cmmm (No. 65)
Asymmetric unit:
La1 0.0000 0.0000 0.0000 (multiplicity 2)  4 La 2.83
W1 0.0000 0.0000 0.5000 (multiplicity 2)  8 W 2.66-2.83
W2 0.0000 0.5000 0.2816 (multiplicity 4)  6 W 2.66-2.83

Results
Calculated total energy (eV per cell): -500.0
M_tot (μB/f.u.): 0.00
Energy above the most stable polymorph in this dataset (eV per atom): 0.000

***

# La2YW

A PBEsol-optimized structure of La2YW (meta-GGA SCAN, Alexandria).

a b c (Å): 7.3662 7.3662 7.3662
angles (deg): 90.00 90.00 90.00
With the nearest neighbours (Å) after each atom.
Space group F-43m (No. 216)
Asymmetric unit:
La1 0.0000 0.0000 0.0000 (multiplicity 4)  4 La 3.19, 4 W 3.19
La2 0.2500 0.2500 0.2500 (multiplicity 4)  4 La 3.19, 4 Y 3.19
Y1 0.0000 0.0000 0.5000 (multiplicity 4)  4 La 3.19, 4 W 3.19
W1 0.2500 0.2500 0.7500 (multiplicity 4)  4 La 3.19, 4 Y 3.19

Results
Calculated total energy (eV per cell): -724.9
M_tot (μB/f.u.): 0.00
Energy above the most stable polymorph in this dataset (eV per atom): 0.064

***

# La2YW

A PBEsol-optimized structure of La2YW (meta-GGA SCAN, Alexandria).

a b c (Å): 3.5489 5.4631 10.9930
angles (deg): 90.00 90.00 90.00
With the nearest neighbours (Å) after each atom.
Space group Cmmm (No. 65)
Asymmetric unit:
La1 0.0000 0.0000 0.2044 (multiplicity 4)  2 W 2.86
Y1 0.0000 0.5000 0.5000 (multiplicity 2)  6 Y 3.26-3.55
W1 0.0000 0.5000 0.0000 (multiplicity 2)  4 La 2.86

Results
Calculated total energy (eV per cell): -362.5
M_tot (μB/f.u.): 0.00
Energy above the most stable polymorph in this dataset (eV per atom): 0.053

***

# LaY2W

A PBEsol-optimized structure of LaY2W (meta-GGA SCAN, Alexandria).

a b c (Å): 3.6054 5.3801 10.7012
angles (deg): 90.00 90.00 90.00
With the nearest neighbours (Å) after each atom.
Space group Imm2 (No. 44)
Asymmetric unit:
La1 0.0000 0.0000 0.0000 (multiplicity 2)  2 W 2.73
Y1 0.0000 0.0000 0.4108 (multiplicity 2)  2 W 2.96
Y2 0.0000 0.5000 0.2034 (multiplicity 2)  4 W 3.24, 2 La 3.46, 6 Y 3.49-3.61
W1 0.0000 0.5000 0.6913 (multiplicity 2)  2 La 2.73, 2 Y 2.96

Results
Calculated total energy (eV per cell): -333.2
M_tot (μB/f.u.): 0.00
Energy above the most stable polymorph in this dataset (eV per atom): 0.000

***

# LaY3W

A PBEsol-optimized structure of LaY3W (meta-GGA SCAN, Alexandria).

a b c (Å): 5.4291 5.4291 5.4291
angles (deg): 90.00 90.00 90.00
With the nearest neighbours (Å) after each atom.
Space group Pm-3m (No. 221)
Asymmetric unit:
La1 0.0000 0.0000 0.0000 (multiplicity 1)  12 Y 3.84
Y1 0.0000 0.5000 0.5000 (multiplicity 3)  2 W 2.71
W1 0.5000 0.5000 0.5000 (multiplicity 1)  6 Y 2.71

Results
Calculated total energy (eV per cell): -194.1
M_tot (μB/f.u.): 0.00

***

# LaY2W

A PBEsol-optimized structure of LaY2W (meta-GGA SCAN, Alexandria).

a b c (Å): 3.1391 4.8549 6.5636
angles (deg): 90.00 90.00 90.00
With the nearest neighbours (Å) after each atom.
Space group Pmm2 (No. 25)
Asymmetric unit:
La1 0.0000 0.0000 0.0000 (multiplicity 1)  1 Y 2.91, 2 La 3.14
Y1 0.0000 0.0000 0.4433 (multiplicity 1)  1 La 2.91, 2 Y 3.14, 4 W 3.20
Y2 0.5000 0.5000 0.7106 (multiplicity 1)  2 W 3.12-3.44, 6 Y 3.14-3.38, 4 La 3.46
W1 0.5000 0.5000 0.2350 (multiplicity 1)  6 Y 3.12-3.44, 2 W 3.14, 4 La 3.28

Results
Calculated total energy (eV per cell): -166.0
M_tot (μB/f.u.): 0.00
Energy above the most stable polymorph in this dataset (eV per atom): 0.154

***

# La2YW

A PBEsol-optimized structure of La2YW (meta-GGA SCAN, Alexandria).

a b c (Å): 3.3219 4.8450 6.5733
angles (deg): 90.00 102.24 90.00
With the nearest neighbours (Å) after each atom.
Space group Pm (No. 6)
Asymmetric unit:
La1 0.0000 0.0000 0.0000 (multiplicity 1)  2 W 2.93, 1 Y 3.13
La2 0.3591 0.5000 0.7228 (multiplicity 1)  1 W 3.08, 4 La 3.32-3.40, 2 Y 3.40
Y1 0.7753 0.0000 0.4386 (multiplicity 1)  4 W 3.10-3.29, 4 La 3.13-3.43, 2 Y 3.32
W1 0.2478 0.5000 0.2452 (multiplicity 1)  3 La 2.93-3.08, 2 Y 3.10

Results
Calculated total energy (eV per cell): -181.5
M_tot (μB/f.u.): 0.00
Energy above the most stable polymorph in this dataset (eV per atom): 0.000

***

# LaZnW

A PBEsol-optimized structure of LaZnW (meta-GGA SCAN, Alexandria).

a b c (Å): 2.9740 3.8132 10.7913
angles (deg): 90.00 90.00 90.00
With the nearest neighbours (Å) after each atom.
Space group Imm2 (No. 44)
Asymmetric unit:
La1 0.0000 0.0000 0.0000 (multiplicity 2)  2 La 2.97, 5 Zn 3.17-3.28, 5 W 3.22-3.27
Zn1 0.0000 0.0000 0.2941 (multiplicity 2)  4 W 2.64
W1 0.0000 0.0000 0.6969 (multiplicity 2)  4 Zn 2.64

Results
Calculated total energy (eV per cell): -249.6
M_tot (μB/f.u.): 0.00
Energy above the most stable polymorph in this dataset (eV per atom): 0.000

***

# LaZnW

A PBEsol-optimized structure of LaZnW (meta-GGA SCAN, Alexandria).

a b c (Å): 4.9120 4.9120 2.8843
angles (deg): 90.00 90.00 120.00
With the nearest neighbours (Å) after each atom.
Space group P-6m2 (No. 187)
Asymmetric unit:
La1 0.0000 0.0000 0.0000 (multiplicity 1)  2 La 2.88, 6 Zn 3.18, 6 W 3.18
Zn1 0.6667 0.3333 0.5000 (multiplicity 1)  3 W 2.84, 2 Zn 2.88
W1 0.3333 0.6667 0.5000 (multiplicity 1)  3 Zn 2.84, 2 W 2.88

Results
Calculated total energy (eV per cell): -124.3
M_tot (μB/f.u.): 0.00
Energy above the most stable polymorph in this dataset (eV per atom): 0.174

***

# LaY4

A PBEsol-optimized structure of LaY4 (meta-GGA SCAN, Alexandria).

a b c (Å): 3.5368 3.5368 43.1370
angles (deg): 90.00 90.00 120.00
With the nearest neighbours (Å) after each atom.
Space group R-3m (No. 166, hexagonal axes)
Asymmetric unit:
La1 0.0000 0.0000 0.0000 (multiplicity 3)  6 La 3.54, 6 Y 3.57
Y1 0.0000 0.0000 0.1997 (multiplicity 6)  12 Y 3.50-3.54
Y2 0.0000 0.0000 0.4011 (multiplicity 6)  9 Y 3.50-3.54, 3 La 3.57

Results
Calculated total energy (eV per cell): -462.8
M_tot (μB/f.u.): 0.00
Energy above the most stable polymorph in this dataset (eV per atom): 0.000

***

# LaY2

A PBEsol-optimized structure of LaY2 (meta-GGA SCAN, Alexandria).

a b c (Å): 5.6640 5.6640 3.4421
angles (deg): 90.00 90.00 120.00
With the nearest neighbours (Å) after each atom.
Space group P6/mmm (No. 191)
Asymmetric unit:
La1 0.0000 0.0000 0.0000 (multiplicity 1)  2 La 3.44, 12 Y 3.70
Y1 0.3333 0.6667 0.5000 (multiplicity 2)  5 Y 3.27-3.44

Results
Calculated total energy (eV per cell): -98.6
M_tot (μB/f.u.): 0.00
Energy above the most stable polymorph in this dataset (eV per atom): 0.042

***

# LaY3

A PBEsol-optimized structure of LaY3 (meta-GGA SCAN, Alexandria).

a b c (Å): 3.6245 11.3477 6.1908
angles (deg): 90.00 90.00 90.00
With the nearest neighbours (Å) after each atom.
Space group Imm2 (No. 44)
Asymmetric unit:
La1 0.0000 0.0000 0.0000 (multiplicity 2)  10 Y 3.52-3.62, 2 La 3.62
Y1 0.0000 0.2477 0.6563 (multiplicity 4)  9 Y 3.49-3.62, 3 La 3.52-3.53
Y2 0.0000 0.5000 0.9934 (multiplicity 2)  8 Y 3.49-3.62, 4 La 3.55-3.62

Results
Calculated total energy (eV per cell): -253.0
M_tot (μB/f.u.): 0.00

***

# LaY2

A PBEsol-optimized structure of LaY2 (meta-GGA SCAN, Alexandria).

a b c (Å): 5.6075 5.6075 7.0586
angles (deg): 90.00 90.00 120.00
With the nearest neighbours (Å) after each atom.
Space group P6_3/mmc (No. 194)
Asymmetric unit:
La1 0.3333 0.6667 0.2500 (multiplicity 2)  5 Y 3.24-3.53
Y1 0.0000 0.0000 0.0000 (multiplicity 2)  8 Y 3.53-3.69, 6 La 3.69
Y2 0.3333 0.6667 0.7500 (multiplicity 2)  5 La 3.24-3.53

Results
Calculated total energy (eV per cell): -197.2
M_tot (μB/f.u.): 0.00
Energy above the most stable polymorph in this dataset (eV per atom): 0.026

***

# LaY3

A PBEsol-optimized structure of LaY3 (meta-GGA SCAN, Alexandria).

a b c (Å): 3.5980 3.5980 11.3741
angles (deg): 90.00 90.00 120.00
With the nearest neighbours (Å) after each atom.
Space group P-6m2 (No. 187)
Asymmetric unit:
La1 0.0000 0.0000 0.0000 (multiplicity 1)  6 Y 3.58, 6 La 3.60
Y1 0.0000 0.0000 0.5000 (multiplicity 1)  12 Y 3.46-3.60
Y2 0.6667 0.3333 0.2564 (multiplicity 2)  9 Y 3.46-3.60, 3 La 3.58

Results
Calculated total energy (eV per cell): -126.5
M_tot (μB/f.u.): 0.87

***

# LaY3

A PBEsol-optimized structure of LaY3 (meta-GGA SCAN, Alexandria).

a b c (Å): 7.0761 9.9059 3.5658
angles (deg): 90.00 90.00 90.00
With the nearest neighbours (Å) after each atom.
Space group Cmmm (No. 65)
Asymmetric unit:
La1 0.0000 0.0000 0.0000 (multiplicity 2)  10 Y 3.53-3.54, 2 La 3.57
Y1 0.0000 0.5000 0.0000 (multiplicity 2)  10 Y 3.53-3.57, 2 La 3.54
Y2 0.2500 0.2500 0.5000 (multiplicity 4)  4 La 3.53, 8 Y 3.53-3.57

Results
Calculated total energy (eV per cell): -253.0
M_tot (μB/f.u.): 0.00